A | A plane-wave DFT calculation with GGA-PBE was carried out for a relaxed structure of Tb4Tl2Sn.

a b c (Å): 5.2867 5.2867 9.2381
angles (deg): 73.37 73.37 60.00
Closest atoms and distances in Å follow each position.
Element x y z (fractional)
Tb1 0.6224 0.6224 0.1329  3 Sn 3.26, 4 Tl 3.29-3.54
Tb2 0.8760 0.8760 0.3721  4 Tl 3.09-3.17, 1 Sn 3.24
Tb3 0.1240 0.1240 0.6279  4 Tl 3.09-3.17, 1 Sn 3.24
Tb4 0.3776 0.3776 0.8671  3 Sn 3.26, 4 Tl 3.29-3.54
Tl1 0.7577 0.7577 0.7268  7 Tb 3.09-3.29
Tl2 0.2423 0.2423 0.2732  7 Tb 3.09-3.29
Sn1 0.0000 0.0000 0.0000  8 Tb 3.24-3.26

Properties
N(E_F), states/eV per cell: 7.06


B | A plane-wave DFT calculation with GGA-PBE was carried out for a relaxed structure of Tb4Tl2Sn.

a b c (Å): 8.1026 8.1074 8.0991
angles (deg): 109.55 109.51 109.33
Closest atoms and distances in Å follow each position.
Element x y z (fractional)
Tb1 0.3722 0.9790 0.2498  2 Sn 3.12-3.34, 4 Tl 3.13-3.38
Tb2 0.5209 0.7705 0.8928  2 Sn 3.11-3.34, 4 Tl 3.13-3.39
Tb3 0.7293 0.1225 0.7503  2 Sn 3.12-3.34, 4 Tl 3.13-3.38
Tb4 0.8780 0.6281 0.6074  2 Sn 3.11-3.34, 4 Tl 3.13-3.38
Tb5 0.0203 0.2708 0.3929  2 Sn 3.11-3.34, 4 Tl 3.13-3.39
Tb6 0.2289 0.1220 0.7495  2 Sn 3.12-3.34, 4 Tl 3.13-3.38
Tb7 0.8779 0.6279 0.1072  2 Sn 3.12-3.34, 4 Tl 3.13-3.38
Tb8 0.3724 0.4792 0.2500  2 Sn 3.12-3.34, 4 Tl 3.13-3.38
Sn1 0.0001 0.0002 0.0002  8 Tb 3.11-3.34
Sn2 0.2501 0.7500 0.5001  8 Tb 3.11-3.34
Tl1 0.6248 0.2545 0.1293  8 Tb 3.13-3.39
Tl2 0.5045 0.3748 0.6293  8 Tb 3.13-3.39
Tl3 0.7455 0.8750 0.3706  8 Tb 3.13-3.38
Tl4 0.1251 0.4955 0.8706  8 Tb 3.13-3.38

Properties
N(E_F), states/eV per cell: 11.37


Most favorable first, least favorable last: B, A